Ba3Pm4Pb4 | PBE-GGA | optimized geometry

Properties
* E_tot: -43.8 eV/cell

Cell lengths 8.459, 8.459, 8.459 Å; angles 109.47, 109.47, 109.47 degrees
Site moments in Bohr magnetons follow the coordinates.
Atoms (fractional coordinates):
Pm  0.263  0.000  0.000  0.07
Pm  0.737  0.737  0.737  0.07
Pb  0.000  0.625  0.000  0.00
Ba  0.500  0.500  0.000  0.01
Pb  0.000  0.000  0.625  0.00
Ba  0.000  0.500  0.500  0.01
Ba  0.500  0.000  0.500  0.01
Pm  0.000  0.263  0.000  0.07
Pb  0.625  0.000  0.000  0.00
Pb  0.375  0.375  0.375  0.00
Pm  0.000  0.000  0.263  0.07

---

Ba2PmPbSe4 | PBE-GGA | optimized geometry

Properties
* raw formation energy: -1.58 eV per atom
* E_tot: -38.9 eV/cell

Cell lengths 4.457, 7.785, 7.827 Å; angles 109.12, 90.00, 90.00 degrees
Atoms (fractional coordinates):
Ba  0.000  0.500  0.500
Pb  0.000  0.000  0.000
Se  0.500  0.251  0.226
Se  0.500  0.749  0.774
Pm  0.500  0.500  0.000
Se  0.000  0.266  0.778
Ba  0.500  0.000  0.500
Se  0.000  0.734  0.222

---

Ba2PmPbSe5 | PBE-GGA | optimized geometry

Properties
* raw formation energy: -1.52 eV per atom
* E_tot: -86.9 eV/cell

Cell lengths 4.465, 9.699, 13.618 Å; angles 90.00, 90.00, 103.31 degrees
Atoms (fractional coordinates):
Se  0.054  0.107  0.077
Se  0.681  0.363  0.871
Se  0.714  0.429  0.157
Se  0.286  0.571  0.657
Ba  0.861  0.721  0.809
Pm  0.789  0.577  0.515
Se  0.319  0.637  0.371
Se  0.511  0.022  0.258
Se  0.489  0.978  0.758
Se  0.363  0.727  0.999
Pb  0.533  0.066  0.953
Pm  0.211  0.423  0.015
Se  0.637  0.273  0.499
Ba  0.886  0.772  0.185
Pb  0.467  0.934  0.453
Ba  0.114  0.228  0.685
Ba  0.139  0.279  0.309
Se  0.946  0.893  0.577

---

BaPmSnPb | PBE-GGA | optimized geometry

Properties
* E_tot: -16.1 eV/cell

Cell lengths 5.757, 5.757, 5.757 Å; angles 60.00, 60.00, 60.00 degrees
Atoms (fractional coordinates):
Pm  0.750  0.750  0.750
Pb  0.500  0.500  0.500
Sn  0.000  0.000  0.000
Ba  0.250  0.250  0.250

---

DOS(E_F) across the listed records, respectively: 0.846 0.384 0.304 0.566 states/eV per atom.